(1)
! Cd2SnSbO6 (PBE-GGA, relaxed); values from VASP
&SYSTEM
  ibrav = 0, nat = 10, ntyp = 4
/
ATOMIC_SPECIES
O 16.00 O.upf
Sn 118.71 Sn.upf
Cd 112.41 Cd.upf
Sb 121.76 Sb.upf
ATOMIC_POSITIONS crystal
O 0.2071 0.0000 0.0000
O 0.1839 0.5000 0.5000
O 0.7226 0.2470 0.2470
O 0.7226 0.7530 0.7530
O 0.7226 0.7530 0.2470
O 0.7226 0.2470 0.7530
Sn 0.5658 0.5000 0.5000
Cd 0.0095 0.5000 0.0000
Cd 0.0095 0.0000 0.5000
Sb 0.5806 0.0000 0.0000
CELL_PARAMETERS angstrom
-1.6083 -1.6276 -4.6376
-4.3679 -2.1764 2.2786
-2.6689 4.6257 -0.6979
! SG: P4mm, No. 99

=====

(2)
! CdSnSbO6 (PBE-GGA, relaxed); values from VASP
&SYSTEM
  ibrav = 0, nat = 18, ntyp = 4
/
ATOMIC_SPECIES
Sn 118.71 Sn.upf
O 16.00 O.upf
Cd 112.41 Cd.upf
Sb 121.76 Sb.upf
ATOMIC_POSITIONS crystal
Sn 0.6667 0.3333 0.2500
Sn 0.3333 0.6667 0.7500
O 0.6449 0.0112 0.8648
O 0.3551 0.3663 0.3648
O 0.3663 0.3551 0.8648
O 0.3551 0.9888 0.1352
O 0.0112 0.3663 0.1352
O 0.9888 0.3551 0.6352
O 0.3663 0.0112 0.6352
O 0.6449 0.6337 0.6352
O 0.6337 0.6449 0.1352
O 0.9888 0.6337 0.8648
O 0.0112 0.6449 0.3648
O 0.6337 0.9888 0.3648
Cd 0.0000 0.0000 0.0000
Cd 0.0000 0.0000 0.5000
Sb 0.6667 0.3333 0.7500
Sb 0.3333 0.6667 0.2500
CELL_PARAMETERS angstrom
5.4534 0.0000 0.0000
-2.7267 4.7228 0.0000
0.0000 0.0000 9.4781
! SG: P-31c, No. 163

=====

(3)
! SrCd2SbO6 (PBE-GGA, relaxed); values from VASP
&SYSTEM
  ibrav = 0, nat = 20, ntyp = 4
/
ATOMIC_SPECIES
O 16.00 O.upf
Cd 112.41 Cd.upf
Sr 87.62 Sr.upf
Sb 121.76 Sb.upf
ATOMIC_POSITIONS crystal
O 0.8017 0.8487 0.5296
O 0.1983 0.1513 0.4704
O 0.6983 0.3487 0.9704
O 0.6184 0.1184 0.2876
O 0.1461 0.2266 0.1058
O 0.8539 0.7734 0.8942
O 0.3816 0.8816 0.7124
O 0.8816 0.6184 0.2124
O 0.6461 0.2734 0.6058
O 0.3017 0.6513 0.0296
O 0.3539 0.7266 0.3942
O 0.1184 0.3816 0.7876
Cd 0.0054 0.0282 0.7229
Cd 0.4946 0.5282 0.7771
Cd 0.9946 0.9718 0.2771
Cd 0.5054 0.4718 0.2229
Sr 0.5000 0.0000 0.0000
Sr 0.0000 0.5000 0.5000
Sb 0.0000 0.5000 0.0000
Sb 0.5000 0.0000 0.5000
CELL_PARAMETERS angstrom
-4.9594 -2.9749 -0.3864
2.9403 -4.5859 -2.4322
1.2906 -3.2064 7.6058
! SG: P2_1/c, No. 14

=====

(4)
! TaCdSb2O8 (PBE-GGA, relaxed); values from VASP
&SYSTEM
  ibrav = 0, nat = 12, ntyp = 4
/
ATOMIC_SPECIES
O 16.00 O.upf
Cd 112.41 Cd.upf
Ta 180.95 Ta.upf
Sb 121.76 Sb.upf
ATOMIC_POSITIONS crystal
O 0.2004 0.7998 0.2175
O 0.6792 0.6791 0.5000
O 0.7996 0.2001 0.2175
O 0.3208 0.3209 0.5000
O 0.2004 0.7999 0.7825
O 0.6985 0.6982 0.0000
O 0.3015 0.3018 0.0000
O 0.7996 0.2002 0.7825
Cd 0.0000 0.0000 0.5000
Ta 0.0000 0.0000 0.0000
Sb 0.5000 0.5000 0.2502
Sb 0.5000 0.5000 0.7498
CELL_PARAMETERS angstrom
-0.9480 -1.7156 4.4608
-4.2896 -1.7706 -1.4875
2.9043 -5.7105 -1.5788
! SG: Cmmm, No. 65

=====

(5)
! TbCd2SbO6 (PBE-GGA, relaxed); values from VASP
&SYSTEM
  ibrav = 0, nat = 10, ntyp = 4
/
ATOMIC_SPECIES
Cd 112.41 Cd.upf
O 16.00 O.upf
Sb 121.76 Sb.upf
Tb 158.93 Tb.upf
ATOMIC_POSITIONS crystal
Cd 0.5409 0.5409 0.3772
Cd 0.0350 0.0350 0.8951
O 0.1097 0.4342 0.7868
O 0.5695 0.1989 0.2594
O 0.4342 0.6693 0.7869
O 0.1989 0.9721 0.2594
O 0.9721 0.5696 0.2594
O 0.6693 0.1097 0.7868
Sb 0.3189 0.3189 0.0433
Tb 0.8130 0.8130 0.5610
CELL_PARAMETERS angstrom
-4.2265 1.9497 -3.2368
-1.5837 -2.8698 -4.6260
-5.1838 -2.8651 0.0781
! SG: R3, No. 146

=====

(6)
! CdTcSbO6 (PBE-GGA, relaxed); values from VASP
&SYSTEM
  ibrav = 0, nat = 18, ntyp = 4
/
ATOMIC_SPECIES
O 16.00 O.upf
Sb 121.76 Sb.upf
Tc 98.00 Tc.upf
Cd 112.41 Cd.upf
ATOMIC_POSITIONS crystal
O 0.9941 0.3646 0.6387
O 0.0059 0.6354 0.3613
O 0.0059 0.3705 0.1387
O 0.6295 0.6354 0.1387
O 0.6354 0.0059 0.8613
O 0.3646 0.3705 0.3613
O 0.3646 0.9941 0.1387
O 0.3705 0.3646 0.8613
O 0.9941 0.6295 0.8613
O 0.3705 0.0059 0.6387
O 0.6354 0.6295 0.6387
O 0.6295 0.9941 0.3613
Sb 0.6667 0.3333 0.2500
Sb 0.3333 0.6667 0.7500
Tc 0.6667 0.3333 0.7500
Tc 0.3333 0.6667 0.2500
Cd 0.0000 0.0000 0.0000
Cd 0.0000 0.0000 0.5000
CELL_PARAMETERS angstrom
5.3121 0.0000 0.0000
-2.6560 4.6004 0.0000
0.0000 0.0000 9.6930
! SG: P-31c, No. 163

=====

(7)
! CdSbTeO6 (PBE-GGA, relaxed); values from VASP
&SYSTEM
  ibrav = 0, nat = 18, ntyp = 4
/
ATOMIC_SPECIES
Sb 121.76 Sb.upf
O 16.00 O.upf
Cd 112.41 Cd.upf
Te 127.60 Te.upf
ATOMIC_POSITIONS crystal
Sb 0.3333 0.6667 0.7500
Sb 0.6667 0.3333 0.2500
O 0.3675 0.3632 0.3618
O 0.6368 0.0043 0.3618
O 0.3632 0.9957 0.6382
O 0.6325 0.6368 0.6382
O 0.9957 0.3632 0.1382
O 0.3675 0.0043 0.1382
O 0.9957 0.6325 0.3618
O 0.3632 0.3675 0.8618
O 0.0043 0.6368 0.8618
O 0.0043 0.3675 0.6382
O 0.6325 0.9957 0.8618
O 0.6368 0.6325 0.1382
Cd 0.0000 0.0000 0.0000
Cd 0.0000 0.0000 0.5000
Te 0.3333 0.6667 0.2500
Te 0.6667 0.3333 0.7500
CELL_PARAMETERS angstrom
-3.8170 3.8095 0.6069
1.1518 -3.3644 4.0994
6.8189 6.3123 3.2647
! SG: P-31c, No. 163

=====

(8)
! CdSbTe2O8 (PBE-GGA, relaxed); values from VASP
&SYSTEM
  ibrav = 0, nat = 12, ntyp = 4
/
ATOMIC_SPECIES
O 16.00 O.upf
Sb 121.76 Sb.upf
Te 127.60 Te.upf
Cd 112.41 Cd.upf
ATOMIC_POSITIONS crystal
O 0.7883 0.1747 0.7773
O 0.6801 0.6800 0.4709
O 0.2117 0.8253 0.2227
O 0.3199 0.3200 0.5291
O 0.1748 0.7884 0.7773
O 0.8252 0.2116 0.2227
O 0.2834 0.2835 0.9648
O 0.7166 0.7165 0.0352
Sb 0.0000 0.0000 0.0000
Te 0.5235 0.5235 0.2511
Te 0.4765 0.4765 0.7489
Cd 0.0000 0.0000 0.5000
CELL_PARAMETERS angstrom
4.9561 0.1008 0.0773
0.1469 4.9553 0.0745
0.1159 0.1189 6.8535
! SG: C2/m, No. 12

=====

no.,raw formation energy (eV/f.u.)
1,-10.93
2,-11.00
3,-14.74
4,-20.45
5,-18.58
6,-11.50
7,-10.15
8,-12.69